No. 1
VASP calculation (PBE) on crystalline Ga3TeCl at its relaxed geometry.

Lattice parameters (Å, degrees): 5.405 5.405 5.405 90.00 90.00 90.00
Fractional coordinates of all 5 atoms:
1 Ga 0.000 0.000 0.500
2 Ga 0.500 0.000 0.000
3 Ga 0.000 0.500 0.000
4 Cl 0.000 0.000 0.000
5 Te 0.500 0.500 0.500

Formation energy without anion corrections: 0.01 eV per atom
DOS at the Fermi energy: 0.01 states/eV/cell
Energy above the lowest structure with this stoichiometry: 0.0000 eV/atom
Uncorrected energy: -2.80 eV per atom

***

No. 2
VASP calculation (PBE) on crystalline VGaTeCl2 at its relaxed geometry.

Lattice parameters (Å, degrees): 4.743 5.778 4.743 90.00 90.00 90.00
Last column: magnetic moment on the atom in μB.
Fractional coordinates of all 5 atoms:
1 Te 0.000 0.500 0.000  -0.10
2 Cl 0.500 0.000 0.000  0.01
3 Cl 0.000 0.000 0.500  0.00
4 Ga 0.000 0.000 0.000  0.02
5 V 0.500 0.500 0.500  2.99

Formation energy without anion corrections: -0.01 eV per atom
DOS at the Fermi energy: 5.36 states/eV/cell
Uncorrected energy: -3.81 eV per atom

***

No. 3
VASP calculation (PBE) on crystalline YGa2TeCl at its relaxed geometry.

Lattice parameters (Å, degrees): 5.507 5.783 5.507 90.00 90.00 90.00
Fractional coordinates of all 5 atoms:
1 Ga 0.000 0.000 0.500
2 Cl 0.500 0.500 0.500
3 Ga 0.500 0.000 0.000
4 Te 0.000 0.000 0.000
5 Y 0.000 0.500 0.000

Formation energy without anion corrections: 0.12 eV per atom
DOS at the Fermi energy: 5.04 states/eV/cell
Uncorrected energy: -3.38 eV per atom

***

No. 4
VASP calculation (PBE) on crystalline ThGaCl5 at its relaxed geometry.

Lattice parameters (Å, degrees): 7.712 7.712 10.689 67.90 67.90 70.97
Fractional coordinates of all 14 atoms:
1 Cl 0.093 0.907 0.250
2 Cl 0.191 0.276 0.361
3 Cl 0.276 0.191 0.861
4 Ga 0.495 0.505 0.250
5 Cl 0.907 0.093 0.750
6 Cl 0.724 0.809 0.139
7 Cl 0.678 0.252 0.460
8 Ga 0.505 0.495 0.750
9 Th 0.000 0.000 0.000
10 Cl 0.322 0.748 0.540
11 Cl 0.748 0.322 0.040
12 Cl 0.809 0.724 0.639
13 Th 0.000 0.000 0.500
14 Cl 0.252 0.678 0.960

Formation energy without anion corrections: -1.72 eV per atom
DOS at the Fermi energy: 0.00 states/eV/cell
Uncorrected energy: -4.53 eV per atom

***

No. 5
VASP calculation (PBE) on crystalline ThTlGa2Cl8 at its relaxed geometry.

Lattice parameters (Å, degrees): 6.823 6.560 9.008 89.87 89.88 88.60
Last column: magnetic moment on the atom in μB.
Fractional coordinates of all 12 atoms:
1 Cl 0.360 0.306 0.500  0.08
2 Ga 0.499 0.499 0.722  0.11
3 Th 0.000 0.000 0.000  0.01
4 Cl 0.829 0.230 0.783  0.02
5 Cl 0.171 0.770 0.217  0.02
6 Cl 0.171 0.770 0.783  0.02
7 Cl 0.303 0.251 0.999  0.02
8 Ga 0.501 0.501 0.278  0.11
9 Cl 0.829 0.230 0.217  0.02
10 Tl 0.000 0.000 0.500  0.00
11 Cl 0.697 0.749 0.001  0.02
12 Cl 0.640 0.694 0.500  0.08

Formation energy without anion corrections: -1.34 eV per atom
DOS at the Fermi energy: 4.67 states/eV/cell
Uncorrected energy: -3.89 eV per atom

***

No. 6
VASP calculation (PBE) on crystalline Ti2GaCl at its relaxed geometry.

Lattice parameters (Å, degrees): 5.173 5.173 7.502 69.83 69.83 90.00
Last column: magnetic moment on the atom in μB.
Fractional coordinates of all 8 atoms:
1 Ti 0.875 0.851 0.750  0.67
2 Ti 0.149 0.625 0.250  0.61
3 Cl 0.500 0.500 0.000  -0.03
4 Ti 0.375 0.399 0.750  0.65
5 Ga 0.000 0.000 0.000  0.01
6 Ga 0.750 0.250 0.500  0.00
7 Ti 0.601 0.125 0.250  0.60
8 Cl 0.250 0.750 0.500  -0.03

Formation energy without anion corrections: 0.19 eV per atom
DOS at the Fermi energy: 8.99 states/eV/cell
Energy above the lowest structure with this stoichiometry: 0.2940 eV/atom
Uncorrected energy: -4.98 eV per atom

***

No. 7
VASP calculation (PBE) on crystalline TiGa2Cl at its relaxed geometry.

Lattice parameters (Å, degrees): 8.730 8.730 6.607 48.65 48.65 90.00
Last column: magnetic moment on the atom in μB.
Fractional coordinates of all 8 atoms:
1 Ga 0.375 0.308 0.750  0.04
2 Ga 0.875 0.942 0.750  0.04
3 Cl 0.250 0.750 0.500  0.00
4 Cl 0.500 0.500 0.000  0.00
5 Ga 0.058 0.625 0.250  0.02
6 Ti 0.750 0.250 0.500  0.78
7 Ga 0.692 0.125 0.250  0.02
8 Ti 0.000 0.000 0.000  0.77

Formation energy without anion corrections: 0.00 eV per atom
DOS at the Fermi energy: 5.88 states/eV/cell
Energy above the lowest structure with this stoichiometry: 0.0000 eV/atom
Uncorrected energy: -3.95 eV per atom

***

No. 8
VASP calculation (PBE) on crystalline TiGaCl3 at its relaxed geometry.

Lattice parameters (Å, degrees): 4.979 4.979 4.979 90.00 90.00 90.00
Last column: magnetic moment on the atom in μB.
Fractional coordinates of all 5 atoms:
1 Cl 0.000 0.500 0.000  -0.01
2 Ga 0.500 0.500 0.500  0.02
3 Cl 0.000 0.000 0.500  -0.02
4 Cl 0.500 0.000 0.000  0.01
5 Ti 0.000 0.000 0.000  1.59

Formation energy without anion corrections: -1.00 eV per atom
DOS at the Fermi energy: 19.83 states/eV/cell
Energy above the lowest structure with this stoichiometry: 0.0000 eV/atom
Uncorrected energy: -4.30 eV per atom

***

No. 9
VASP calculation (PBE) on crystalline TiGaCl3 at its relaxed geometry.

Lattice parameters (Å, degrees): 5.073 5.073 5.073 90.00 90.00 90.00
Last column: magnetic moment on the atom in μB.
Fractional coordinates of all 5 atoms:
1 Ti 0.500 0.500 0.500  2.19
2 Ga 0.000 0.000 0.000  0.01
3 Cl 0.500 0.000 0.000  -0.01
4 Cl 0.000 0.500 0.000  -0.01
5 Cl 0.000 0.000 0.500  -0.01

Formation energy without anion corrections: -0.19 eV per atom
DOS at the Fermi energy: 7.03 states/eV/cell
Energy above the lowest structure with this stoichiometry: 0.8104 eV/atom
Uncorrected energy: -3.49 eV per atom

***

No. 10
VASP calculation (PBE) on crystalline Ti2Ga2Cl at its relaxed geometry.

Lattice parameters (Å, degrees): 6.651 6.651 3.909 90.00 90.00 90.00
Fractional coordinates of all 10 atoms:
1 Ti 0.327 0.827 0.000
2 Ga 0.868 0.368 0.500
3 Cl 0.000 0.000 0.000
4 Ti 0.173 0.327 0.000
5 Ga 0.132 0.632 0.500
6 Ga 0.368 0.132 0.500
7 Ga 0.632 0.868 0.500
8 Ti 0.827 0.673 0.000
9 Cl 0.500 0.500 0.000
10 Ti 0.673 0.173 0.000

Formation energy without anion corrections: -0.39 eV per atom
DOS at the Fermi energy: 7.76 states/eV/cell
Uncorrected energy: -5.13 eV per atom

***

No. 11
VASP calculation (PBE) on crystalline TiGa2Cl at its relaxed geometry.

Lattice parameters (Å, degrees): 4.822 4.822 4.822 60.00 60.00 60.00
Fractional coordinates of all 4 atoms:
1 Ga 0.250 0.250 0.250
2 Cl 0.000 0.000 0.000
3 Ti 0.500 0.500 0.500
4 Ga 0.750 0.750 0.750

Formation energy without anion corrections: 0.31 eV per atom
DOS at the Fermi energy: 4.57 states/eV/cell
Energy above the lowest structure with this stoichiometry: 0.3129 eV/atom
Uncorrected energy: -3.64 eV per atom

***

No. 12
VASP calculation (PBE) on crystalline TiGaCl2 at its relaxed geometry.

Lattice parameters (Å, degrees): 6.508 6.508 7.224 63.23 63.23 90.00
Last column: magnetic moment on the atom in μB.
Fractional coordinates of all 8 atoms:
1 Ti 0.250 0.750 0.500  1.78
2 Cl 0.375 0.459 0.750  -0.02
3 Cl 0.875 0.791 0.750  -0.02
4 Ti 0.500 0.500 0.000  1.77
5 Ga 0.750 0.250 0.500  0.11
6 Ga 0.000 0.000 0.000  0.11
7 Cl 0.541 0.125 0.250  -0.01
8 Cl 0.209 0.625 0.250  -0.01

Formation energy without anion corrections: -0.43 eV per atom
DOS at the Fermi energy: 7.66 states/eV/cell
Uncorrected energy: -4.08 eV per atom

***

No. 13
VASP calculation (PBE) on crystalline Ti2GaCl at its relaxed geometry.

Lattice parameters (Å, degrees): 4.549 4.549 4.549 60.00 60.00 60.00
Last column: magnetic moment on the atom in μB.
Fractional coordinates of all 4 atoms:
1 Cl 0.000 0.000 0.000  0.00
2 Ti 0.750 0.750 0.750  0.60
3 Ti 0.250 0.250 0.250  0.60
4 Ga 0.500 0.500 0.500  0.03

Formation energy without anion corrections: -0.11 eV per atom
DOS at the Fermi energy: 3.21 states/eV/cell
Energy above the lowest structure with this stoichiometry: 0.0000 eV/atom
Uncorrected energy: -5.27 eV per atom

***

No. 14
VASP calculation (PBE) on crystalline TiVGaCl6 at its relaxed geometry.

Lattice parameters (Å, degrees): 6.335 6.335 6.717 90.00 90.00 60.00
Last column: magnetic moment on the atom in μB.
Fractional coordinates of all 9 atoms:
1 Cl 0.000 0.364 0.292  -0.02
2 Cl 0.000 0.635 0.708  -0.02
3 Cl 0.364 0.000 0.708  -0.02
4 Cl 0.364 0.635 0.292  -0.02
5 Ti 0.333 0.333 0.500  1.10
6 Cl 0.635 0.364 0.708  -0.02
7 Ga 0.000 0.000 0.000  0.01
8 Cl 0.635 0.000 0.292  -0.02
9 V 0.667 0.667 0.500  2.43

Formation energy without anion corrections: -1.24 eV per atom
DOS at the Fermi energy: 7.35 states/eV/cell
Uncorrected energy: -4.70 eV per atom

***

No. 15
VASP calculation (PBE) on crystalline Tl2Ga2Cl7 at its relaxed geometry.

Lattice parameters (Å, degrees): 6.563 7.980 7.980 100.39 96.70 96.70
Last column: magnetic moment on the atom in μB.
Fractional coordinates of all 11 atoms:
1 Cl 0.731 0.375 0.375  0.02
2 Cl 0.269 0.625 0.625  0.02
3 Tl 0.000 0.707 0.293  0.01
4 Ga 0.429 0.224 0.224  0.10
5 Cl 0.754 0.591 0.893  0.03
6 Cl 0.754 0.893 0.591  0.03
7 Cl 0.500 0.000 0.000  0.00
8 Ga 0.571 0.776 0.776  0.10
9 Cl 0.246 0.409 0.107  0.03
10 Cl 0.246 0.107 0.409  0.03
11 Tl 0.000 0.293 0.707  0.01

Formation energy without anion corrections: -1.00 eV per atom
DOS at the Fermi energy: 4.46 states/eV/cell
Uncorrected energy: -3.16 eV per atom

***

No. 16
VASP calculation (PBE) on crystalline TlGaCl2 at its relaxed geometry.

Lattice parameters (Å, degrees): 6.882 6.882 8.596 66.40 66.40 90.00
Fractional coordinates of all 8 atoms:
1 Cl 0.875 0.848 0.750
2 Tl 0.750 0.250 0.500
3 Cl 0.152 0.625 0.250
4 Ga 0.250 0.750 0.500
5 Tl 0.000 0.000 0.000
6 Cl 0.375 0.402 0.750
7 Ga 0.500 0.500 0.000
8 Cl 0.598 0.125 0.250

Formation energy without anion corrections: -0.78 eV per atom
DOS at the Fermi energy: 0.00 states/eV/cell
Energy above the lowest structure with this stoichiometry: 0.0563 eV/atom
Uncorrected energy: -3.05 eV per atom

***

No. 17
VASP calculation (PBE) on crystalline TlGaCl2 at its relaxed geometry.

Lattice parameters (Å, degrees): 4.358 8.297 10.142 130.58 102.41 90.00
Fractional coordinates of all 8 atoms:
1 Ga 0.891 0.445 0.131
2 Tl 0.074 0.366 0.512
3 Cl 0.991 0.858 0.346
4 Tl 0.633 0.971 0.630
5 Cl 0.480 0.465 0.326
6 Cl 0.225 0.872 0.816
7 Cl 0.716 0.479 0.796
8 Ga 0.831 0.892 0.011

Formation energy without anion corrections: -0.83 eV per atom
DOS at the Fermi energy: 0.00 states/eV/cell
Energy above the lowest structure with this stoichiometry: 0.0000 eV/atom
Uncorrected energy: -3.11 eV per atom

***

No. 18
VASP calculation (PBE) on crystalline TlGaCl2 at its relaxed geometry.

Lattice parameters (Å, degrees): 3.768 3.768 7.570 90.00 90.00 90.00
Fractional coordinates of all 4 atoms:
1 Ga 0.500 0.500 0.000
2 Cl 0.000 0.000 0.237
3 Cl 0.000 0.000 0.763
4 Tl 0.500 0.500 0.500

Formation energy without anion corrections: -0.78 eV per atom
DOS at the Fermi energy: 0.00 states/eV/cell
Energy above the lowest structure with this stoichiometry: 0.0520 eV/atom
Uncorrected energy: -3.05 eV per atom

***

No. 19
VASP calculation (PBE) on crystalline TlGa3Cl at its relaxed geometry.

Lattice parameters (Å, degrees): 5.372 5.372 5.372 90.00 90.00 90.00
Fractional coordinates of all 5 atoms:
1 Ga 0.000 0.000 0.500
2 Tl 0.500 0.500 0.500
3 Cl 0.000 0.000 0.000
4 Ga 0.000 0.500 0.000
5 Ga 0.500 0.000 0.000

Formation energy without anion corrections: 0.21 eV per atom
DOS at the Fermi energy: 3.84 states/eV/cell
Energy above the lowest structure with this stoichiometry: 0.0000 eV/atom
Uncorrected energy: -2.45 eV per atom

***

No. 20
VASP calculation (PBE) on crystalline TlGaCl2 at its relaxed geometry.

Lattice parameters (Å, degrees): 9.397 9.397 9.397 26.31 26.31 26.31
Fractional coordinates of all 4 atoms:
1 Cl 0.895 0.895 0.895
2 Ga 0.500 0.500 0.500
3 Cl 0.105 0.105 0.105
4 Tl 0.000 0.000 0.000

Formation energy without anion corrections: -0.63 eV per atom
DOS at the Fermi energy: 0.00 states/eV/cell
Energy above the lowest structure with this stoichiometry: 0.2069 eV/atom
Uncorrected energy: -2.90 eV per atom

***

No. 21
VASP calculation (PBE) on crystalline TlGa2Cl7 at its relaxed geometry.

Lattice parameters (Å, degrees): 3.950 10.247 10.247 135.31 90.00 90.00
Fractional coordinates of all 10 atoms:
1 Cl 0.500 0.665 0.910
2 Cl 0.500 0.500 0.500
3 Cl 0.500 0.335 0.090
4 Ga 0.500 0.629 0.371
5 Cl 0.500 0.910 0.665
6 Cl 0.500 0.090 0.335
7 Cl 0.000 0.701 0.299
8 Tl 0.000 0.000 0.000
9 Ga 0.500 0.371 0.629
10 Cl 0.000 0.299 0.701

Formation energy without anion corrections: -0.95 eV per atom
DOS at the Fermi energy: 0.00 states/eV/cell
Uncorrected energy: -3.09 eV per atom

***

No. 22
VASP calculation (PBE) on crystalline Tl5GaCl6 at its relaxed geometry.

Lattice parameters (Å, degrees): 7.885 7.903 7.887 59.93 80.35 70.44
Fractional coordinates of all 12 atoms:
1 Cl 0.241 0.600 0.320
2 Cl 0.751 0.762 0.000
3 Tl 0.500 0.168 0.665
4 Cl 0.759 0.080 0.320
5 Tl 0.000 0.333 0.334
6 Cl 0.759 0.400 0.680
7 Cl 0.241 0.920 0.680
8 Cl 0.249 0.238 0.000
9 Tl 0.500 0.832 0.335
10 Tl 0.500 0.500 0.000
11 Ga 0.000 0.000 0.000
12 Tl 0.000 0.667 0.666

Formation energy without anion corrections: -0.95 eV per atom
DOS at the Fermi energy: 0.00 states/eV/cell
Uncorrected energy: -3.12 eV per atom

***

No. 23
VASP calculation (PBE) on crystalline TlGaCl3 at its relaxed geometry.

Lattice parameters (Å, degrees): 5.498 5.498 5.498 90.00 90.00 90.00
Fractional coordinates of all 5 atoms:
1 Ga 0.500 0.500 0.500
2 Tl 0.000 0.000 0.000
3 Cl 0.500 0.000 0.000
4 Cl 0.000 0.500 0.000
5 Cl 0.000 0.000 0.500

Formation energy without anion corrections: -0.60 eV per atom
DOS at the Fermi energy: 1.05 states/eV/cell
Uncorrected energy: -2.78 eV per atom

***

No. 24
VASP calculation (PBE) on crystalline TlGa3Cl at its relaxed geometry.

Lattice parameters (Å, degrees): 5.515 5.515 5.515 90.00 90.00 90.00
Fractional coordinates of all 5 atoms:
1 Cl 0.500 0.500 0.500
2 Ga 0.000 0.500 0.000
3 Tl 0.000 0.000 0.000
4 Ga 0.000 0.000 0.500
5 Ga 0.500 0.000 0.000

Formation energy without anion corrections: 0.29 eV per atom
DOS at the Fermi energy: 2.76 states/eV/cell
Energy above the lowest structure with this stoichiometry: 0.0804 eV/atom
Uncorrected energy: -2.37 eV per atom

***

No. 25
VASP calculation (PBE) on crystalline TlGaCl2 at its relaxed geometry.

Lattice parameters (Å, degrees): 7.979 8.493 8.021 90.00 90.00 90.00
Fractional coordinates of all 16 atoms:
1 Ga 0.063 0.072 0.599
2 Cl 0.785 0.833 0.200
3 Cl 0.841 0.167 0.800
4 Ga 0.563 0.928 0.401
5 Tl 0.563 0.390 0.635
6 Cl 0.341 0.833 0.200
7 Ga 0.563 0.428 0.099
8 Cl 0.285 0.167 0.800
9 Ga 0.063 0.572 0.901
10 Cl 0.285 0.667 0.700
11 Cl 0.785 0.333 0.300
12 Tl 0.063 0.610 0.365
13 Cl 0.841 0.667 0.700
14 Tl 0.063 0.110 0.135
15 Tl 0.563 0.890 0.865
16 Cl 0.341 0.333 0.300

Formation energy without anion corrections: -0.83 eV per atom
DOS at the Fermi energy: 0.00 states/eV/cell
Energy above the lowest structure with this stoichiometry: 0.0059 eV/atom
Uncorrected energy: -3.10 eV per atom